DFT (GGA-PBE) results for a relaxed Hf4UN5 crystal.

a = 4.633 Å, b = 5.632 Å, c = 5.632 Å
α = 80.26°, β = 65.71°, γ = 65.71°
Fractional positions:
Hf  0.406  0.395  0.794
Hf  0.802  0.794  0.605
Hf  0.200  0.206  0.395
Hf  0.596  0.605  0.206
U  0.001  0.000  0.000
N  0.900  0.404  0.799
N  0.304  0.799  0.596
N  0.699  0.201  0.404
N  0.102  0.596  0.201
N  0.501  0.000  0.000

## Properties
Formation energy from raw total energies = -1672 meV per atom
Total magnetization = 0.00 μB per cell
Total energy = -10.95 eV/atom